## Ba2MgReGe (PBE)

Data for a relaxed structure of Ba2MgReGe.

Properties
Formation energy from the elements = 1.199 eV/atom
Magnetization = 0.68 μB per atom

Cell lengths 6.4081, 6.4081, 4.6946 Å; angles 90.00, 90.00, 90.00 degrees
Atoms (fractional coordinates):
Ba1 0.0000 0.5000 0.0000
Ba2 0.5000 0.0000 0.0000
Mg1 0.0000 0.0000 0.0000
Re1 0.5000 0.5000 0.5000
Ge1 0.0000 0.0000 0.5000